[1]
RbCd2GaAg | PBE-GGA | optimized geometry

Summary:
The calculation puts the energy above the lowest structure with this stoichiometry at 0.0000 eV per atom. The magnetization is 0.000 μB/atom. As for the crystal system: tetragonal. The formation energy from the elements comes out at 0.053 eV/atom.

```
RbCd2GaAg
1.0
-3.209 -4.135 1.551
2.925 -0.553 4.576
-3.149 3.351 2.418
Ga Rb Ag Cd
1 1 1 2
Cartesian
0.000 0.000 0.000
-1.717 -0.669 4.273
-1.575 1.676 1.209
1.462 -0.277 2.288
-1.605 -2.068 0.776
```

[2]
Cd2GaAgSe2S2 | PBE-GGA | optimized geometry

Summary:
The calculation puts the energy above the lowest structure with this stoichiometry at 0.0207 eV per atom. The magnetization is 0.000 μB/atom. As for the crystal system: monoclinic. The formation energy from raw total energies is -469 meV/atom.

```
Cd2GaAgSe2S2
1.0
-1.531 0.658 -3.791
-6.399 -0.528 2.493
-0.198 7.233 1.335
Cd Ga Ag Se S
2 1 1 2 2
Cartesian
-7.034 5.785 1.583
-3.921 1.242 -0.462
-6.335 1.872 2.883
-3.288 4.694 2.142
-4.090 2.165 2.028
-0.839 4.546 1.127
-4.736 6.097 0.709
-1.415 1.554 -1.420
```

[3]
Cd2GaAgSe2S2 | PBE-GGA | optimized geometry

Summary:
The calculation puts the energy above the lowest structure with this stoichiometry at 0.0000 eV per atom. The magnetization is 0.000 μB/atom. As for the crystal system: monoclinic. The formation energy from raw total energies is -490 meV/atom.

```
Cd2GaAgSe2S2
1.0
7.908 -0.017 -0.031
6.837 3.974 -0.031
3.133 0.841 6.552
Cd Ga Ag Se S
2 1 1 2 2
Cartesian
4.083 1.096 3.305
13.164 3.533 6.184
9.338 2.506 5.987
15.223 4.085 2.399
12.932 3.470 3.617
4.075 1.094 0.538
7.888 2.117 0.902
16.697 4.481 4.592
```

[4]
Cd2GaAg7Sb2 | PBE-GGA | optimized geometry

Summary:
The magnetization is 0.000 μB/atom. As for the crystal system: monoclinic. The formation energy from raw total energies is 51 meV/atom.

```
Cd2GaAg7Sb2
1.0
4.304 -0.062 0.336
-0.057 4.304 0.336
3.143 3.139 13.767
Cd Ga Ag Sb
2 1 7 2
Cartesian
5.614 5.607 10.032
1.776 1.774 4.406
0.000 0.000 0.000
2.124 2.121 0.336
2.613 2.610 7.049
4.777 4.772 7.389
4.117 1.925 2.436
1.930 4.114 2.436
5.460 3.267 12.002
3.273 5.456 12.002
3.897 3.892 4.765
3.493 3.489 9.673
```

[5]
Sc4CdGaAg2 | PBE-GGA | optimized geometry

Summary:
The magnetization is 0.000 μB/atom. As for the crystal system: trigonal. The formation energy from the elements comes out at -0.369 eV/atom.

```
Sc4CdGaAg2
1.0
4.873 0.000 0.000
2.436 4.220 0.000
2.436 1.407 7.956
Sc Cd Ga Ag
4 1 1 2
Cartesian
4.873 2.813 6.866
7.309 4.220 3.074
2.436 1.407 4.882
4.873 2.813 1.090
0.000 0.000 0.000
4.873 2.813 3.978
7.309 4.220 6.065
2.436 1.407 1.891
```

[6]
CdGaAg2Se4 | PBE-GGA | optimized geometry

Summary:
The magnetization is 0.000 μB/atom. As for the crystal system: orthorhombic. The formation energy from raw total energies is -354 meV/atom.

```
CdGaAg2Se4
1.0
-4.409 -4.794 -2.698
5.520 -2.680 -4.257
2.046 -5.228 5.945
Cd Ga Ag Se
2 2 4 8
Cartesian
-0.286 -3.348 -2.846
4.600 -4.371 0.197
3.708 -1.820 -2.877
0.606 -5.899 0.228
2.815 -6.021 -3.392
1.390 -1.816 0.677
2.435 -4.485 3.712
3.817 -8.579 -0.483
-1.892 -5.224 -3.942
2.830 -6.166 -0.773
1.187 -7.752 -4.541
-0.278 -3.669 -0.192
0.699 -6.165 2.646
2.256 -10.484 -1.434
2.189 -3.510 -3.840
-0.961 -7.565 -0.698
```

[7]
Sm4CdGaAg2 | PBE-GGA | optimized geometry

Summary:
The magnetization is 0.071 μB/atom. As for the crystal system: trigonal. The formation energy from the elements comes out at -0.353 eV/atom.

```
Sm4CdGaAg2
1.0
-2.209 -3.374 -3.377
2.871 -2.102 -3.874
2.375 -8.407 2.749
Sm Cd Ga Ag
4 1 1 2
Cartesian
2.298 -9.325 -0.380
1.494 -8.017 -5.257
1.543 -5.865 0.754
0.738 -4.558 -4.122
0.000 0.000 0.000
1.518 -6.941 -2.251
2.312 -10.516 -3.295
0.725 -3.366 -1.208
```

[8]
CdGa2AgSn | PBE-GGA | optimized geometry

Summary:
The magnetization is 0.000 μB/atom. As for the crystal system: tetragonal. The formation energy from the elements comes out at 0.609 eV/atom.

```
CdGa2AgSn
1.0
-3.225 -0.481 4.222
0.936 -5.464 0.092
4.153 0.766 3.259
Ga Sn Ag Cd
2 1 1 1
Cartesian
2.077 0.383 1.630
-1.612 -0.240 2.111
0.000 0.000 0.000
0.932 -2.589 3.787
0.468 -2.732 0.046
```

[9]
Sr2CdGa3Ag4 | PBE-GGA | optimized geometry

Summary:
The magnetization is 0.000 μB/atom. As for the crystal system: tetragonal. The formation energy from the elements comes out at -0.284 eV/atom.

```
Sr2CdGa3Ag4
1.0
-3.687 0.516 -2.331
-2.387 -0.839 3.590
-0.065 11.689 2.689
Sr Cd Ga Ag
2 1 3 4
Cartesian
-1.859 3.072 -0.518
-1.243 8.455 3.837
-3.070 5.683 1.974
-0.033 5.844 1.345
-1.900 10.416 1.171
-1.202 1.111 2.147
-3.037 -0.162 0.630
0.000 0.000 0.000
-1.886 7.849 0.581
-1.216 3.678 2.738
```

[10]
SrCd2GaAg2 | PBE-GGA | optimized geometry

Summary:
The magnetization is 0.000 μB/atom. As for the crystal system: tetragonal. The formation energy from the elements comes out at 0.017 eV/atom.

```
SrCd2GaAg2
1.0
5.370 0.000 0.000
0.000 5.370 0.000
-2.685 -2.685 5.842
Sr Cd Ga Ag
1 2 1 2
Cartesian
2.685 2.685 0.000
0.000 2.685 2.921
2.685 0.000 2.921
0.000 0.000 0.000
2.685 2.685 3.361
0.000 0.000 2.480
```

[11]
SrCd2GaAg4 | PBE-GGA | optimized geometry

Summary:
The magnetization is 0.000 μB/atom. As for the crystal system: trigonal. The formation energy from the elements comes out at -0.105 eV/atom.

```
SrCd2GaAg4
1.0
-0.467 1.644 -4.461
-4.126 1.955 -1.405
1.404 9.326 0.733
Sr Cd Ga Ag
1 2 1 4
Cartesian
0.000 0.000 0.000
-2.429 9.589 -3.884
-0.759 3.336 -1.248
-1.594 6.463 -2.566
-0.736 8.839 -1.781
-3.413 6.865 -4.785
0.225 6.061 -0.347
-2.452 4.087 -3.352
```

[12]
SrCdGaAg2 | PBE-GGA | optimized geometry

Summary:
The magnetization is 0.000 μB/atom. As for the crystal system: orthorhombic. The formation energy from the elements comes out at -0.254 eV/atom.

```
SrCdGaAg2
1.0
-3.537 -2.350 -1.346
2.641 -3.531 -0.775
-0.434 1.047 6.683
Sr Cd Ga Ag
1 1 1 2
Cartesian
-0.777 -1.668 4.954
0.981 -2.493 1.773
-1.030 -4.190 2.649
-2.127 -1.945 1.613
-0.081 -0.175 0.519
```

- What is the magnetization in the second record?
  0.000 μB/atom